[1]
Density functional theory data (meta-GGA SCAN) for a crystal of TaTe2IN relaxed with PBEsol.

```
TaTe2IN
1.0
5.6872 0.0000 0.0000
0.0000 5.6872 0.0000
0.0000 0.0000 3.8363
Ta Te I N
1 2 1 1
direct
0.0000 0.0000 0.0000
0.0000 0.5000 0.5000
0.5000 0.0000 0.5000
0.5000 0.5000 0.5000
0.5000 0.5000 0.0000
```

ΔE_f (raw) in eV/atom: 1.765
Size of the total moment in μB/f.u.: 2.72
Energy relative to the lowest polymorph listed for this composition in meV per atom: 744

=====

[2]
Density functional theory data (meta-GGA SCAN) for a crystal of TaTe2IN relaxed with PBEsol.

```
TaTe2IN
1.0
5.3175 0.0000 0.0000
0.0000 5.3175 0.0000
0.0000 0.0000 5.6299
Ta Te I N
1 2 1 1
direct
0.0000 0.0000 0.0000
0.0000 0.5000 0.0000
0.5000 0.0000 0.0000
0.0000 0.0000 0.5000
0.5000 0.5000 0.5000
```

ΔE_f (raw) in eV/atom: 1.021
Size of the total moment in μB/f.u.: 3.00
Energy relative to the lowest polymorph listed for this composition in meV per atom: 0

=====

[3]
Density functional theory data (meta-GGA SCAN) for a crystal of YTaI2N relaxed with PBEsol.

```
YTaI2N
1.0
5.9149 0.0000 0.0000
0.0000 5.9149 0.0000
0.0000 0.0000 3.9485
Y Ta I N
1 1 2 1
direct
0.0000 0.0000 0.0000
0.5000 0.5000 0.5000
0.0000 0.5000 0.0000
0.5000 0.0000 0.0000
0.0000 0.0000 0.5000
```

ΔE_f (raw) in eV/atom: 0.733
Size of the total moment in μB/f.u.: 3.76

=====

[4]
Density functional theory data (meta-GGA SCAN) for a crystal of TcI2N relaxed with PBEsol.

```
TcI2N
1.0
5.5459 0.0000 0.0000
0.0000 5.5459 0.0000
0.0000 0.0000 11.8113
Tc I N
4 8 4
direct
0.0000 0.0000 0.0000
0.0000 0.5000 0.2500
0.5000 0.0000 0.7500
0.5000 0.5000 0.5000
0.2257 0.2500 0.6250
0.2500 0.7257 0.8750
0.2500 0.7743 0.3750
0.2743 0.2500 0.1250
0.7257 0.7500 0.1250
0.7500 0.2257 0.3750
0.7500 0.2743 0.8750
0.7743 0.7500 0.6250
0.0000 0.0000 0.5000
0.0000 0.5000 0.7500
0.5000 0.0000 0.2500
0.5000 0.5000 0.0000
```

ΔE_f (raw) in eV/atom: 1.592
Size of the total moment in μB/f.u.: 0.00

=====

[5]
Density functional theory data (meta-GGA SCAN) for a crystal of TcTe2IN relaxed with PBEsol.

```
TcTe2IN
1.0
5.0546 0.0000 0.0000
0.0000 5.0546 0.0000
0.0000 0.0000 5.7460
Tc Te I N
1 2 1 1
direct
0.0000 0.0000 0.0000
0.0000 0.5000 0.0000
0.5000 0.0000 0.0000
0.0000 0.0000 0.5000
0.5000 0.5000 0.5000
```

ΔE_f (raw) in eV/atom: 1.274
Size of the total moment in μB/f.u.: 2.10

=====

[6]
Density functional theory data (meta-GGA SCAN) for a crystal of TiTcIN2 relaxed with PBEsol.

```
TiTcIN2
1.0
3.9032 0.0000 0.0000
0.0000 3.9032 0.0000
0.0000 0.0000 5.6139
Ti Tc I N
1 1 1 2
direct
0.0000 0.0000 0.0000
0.5000 0.5000 0.5000
0.0000 0.0000 0.5000
0.0000 0.5000 0.0000
0.5000 0.0000 0.0000
```

ΔE_f (raw) in eV/atom: 0.818
Size of the total moment in μB/f.u.: 3.31

=====

Table of energy (eV for the cell shown), in record order: -178.29; -182.01; -173.54; -445.87; -149.22; -102.33